(1)
Computed, not measured: Tb2ErSc after structural relaxation at the PBE level of DFT.

Values from the calculation:
**Space group**: P4/mmm
**Mass density**: 7.44 g cm⁻³
**Calculated formation energy**: 0.040 eV/atom
**Polymorph energy (0 for the lowest one)**: 0.6 kJ per mole of atoms
**DFT total energy**: -4.998 eV/atom

a b c (Å): 4.929 4.929 4.872
angles (deg): 90.00 90.00 90.00
Positions (direct):
Tb1 0.000 0.500 0.000
Tb2 0.500 0.000 0.000
Er1 0.000 0.000 0.500
Sc1 0.500 0.500 0.500

(2)
Computed, not measured: Rb2TbHoO4 after structural relaxation at the PBE level of DFT.

Values from the calculation:
**Space group**: P2/m
**Mass density**: 6.61 g cm⁻³
**Formation energy from raw total energies**: -2696 meV/atom
**DFT total energy**: -6.568 eV/atom

a b c (Å): 6.085 3.513 6.869
angles (deg): 90.00 107.16 90.00
Positions (direct):
Rb1 0.000 0.000 0.000
Rb2 0.500 0.500 0.000
Tb1 0.000 0.500 0.500
Ho1 0.500 0.000 0.500
O1 0.227 0.000 0.675
O2 0.277 0.500 0.325
O3 0.723 0.500 0.675
O4 0.773 0.000 0.325

(3)
Computed, not measured: Na2Sr6RhS after structural relaxation at the PBE level of DFT.

Values from the calculation:
**Space group**: Fmm2
**Mass density**: 2.75 g cm⁻³
**Formation energy from raw total energies**: -452 meV/atom
**DFT total energy**: -2.873 eV/atom

a b c (Å): 8.449 8.446 8.445
angles (deg): 60.03 60.00 59.97
Positions (direct):
Na1 0.000 0.000 0.500
Na2 0.500 0.500 0.000
Sr1 0.005 0.005 0.995
Sr2 0.005 0.495 0.505
Sr3 0.005 0.495 0.995
Sr4 0.494 0.494 0.506
Sr5 0.495 0.005 0.505
Sr6 0.495 0.005 0.995
Rh1 0.249 0.249 0.751
S1 0.749 0.749 0.251

(4)
Computed, not measured: Hg4MoSe after structural relaxation at the PBE level of DFT.

Values from the calculation:
**Space group**: F-43m
**Mass density**: 11.17 g cm⁻³
**Formation energy from raw total energies**: 784 meV/atom
**DFT total energy**: -1.803 eV/atom

a b c (Å): 5.900 5.900 5.900
angles (deg): 60.00 60.00 60.00
Positions (direct):
Hg1 0.125 0.125 0.125
Hg2 0.125 0.125 0.624
Hg3 0.125 0.624 0.125
Hg4 0.624 0.125 0.125
Mo1 0.750 0.750 0.750
Se1 0.500 0.500 0.500

(5)
Computed, not measured: Dy2FeCu after structural relaxation at the PBE level of DFT.

Values from the calculation:
**Space group**: P4/mmm
**Mass density**: 9.43 g cm⁻³
**Calculated formation energy**: -0.051 eV/atom
**Polymorph energy (0 for the lowest one)**: 0.0 kJ per mole of atoms
**DFT total energy**: -5.491 eV/atom

a b c (Å): 3.348 3.348 6.979
angles (deg): 90.00 90.00 90.00
Positions (direct):
Dy1 0.000 0.000 0.234
Dy2 0.000 0.000 0.766
Fe1 0.500 0.500 0.000
Cu1 0.500 0.500 0.500

(6)
Computed, not measured: NpSI3 after structural relaxation at the PBE level of DFT.

Values from the calculation:
**Space group**: C2/c
**Mass density**: 4.54 g cm⁻³
**Formation energy from raw total energies**: -742 meV/atom
**DFT total energy**: -5.086 eV/atom

a b c (Å): 8.587 8.587 15.194
angles (deg): 92.42 92.42 121.69
Positions (direct):
Np1 0.029 0.122 0.141
Np2 0.122 0.029 0.641
Np3 0.878 0.971 0.359
Np4 0.971 0.878 0.859
S1 0.051 0.718 0.721
S2 0.282 0.949 0.779
S3 0.718 0.051 0.221
S4 0.949 0.282 0.279
I1 0.002 0.760 0.475
I2 0.166 0.286 0.799
I3 0.240 0.998 0.025
I4 0.251 0.493 0.087
I5 0.286 0.166 0.299
I6 0.493 0.251 0.587
I7 0.507 0.749 0.413
I8 0.714 0.834 0.701
I9 0.749 0.507 0.913
I10 0.760 0.002 0.975
I11 0.834 0.714 0.201
I12 0.998 0.240 0.525

(7)
Computed, not measured: Co2SbOs after structural relaxation at the PBE level of DFT.

Values from the calculation:
**Space group**: P4/mmm
**Mass density**: 12.99 g cm⁻³
**Formation energy from raw total energies**: 312 meV/atom
**Polymorph energy (0 for the lowest one)**: 2.5 kJ per mole of atoms
**DFT total energy**: -7.079 eV/atom

a b c (Å): 3.826 3.826 3.754
angles (deg): 90.00 90.00 90.00
Positions (direct):
Co1 0.000 0.500 0.000
Co2 0.500 0.000 0.000
Sb1 0.000 0.000 0.500
Os1 0.500 0.500 0.500

(8)
Computed, not measured: CaCdS2Cl after structural relaxation at the PBE level of DFT.

Values from the calculation:
**Space group**: P4/mmm
**Mass density**: 2.86 g cm⁻³
**Formation energy from raw total energies**: -404 meV/atom
**Polymorph energy (0 for the lowest one)**: 30.1 kJ per mole of atoms
**DFT total energy**: -3.008 eV/atom

a b c (Å): 5.349 5.349 5.122
angles (deg): 90.00 90.00 90.00
Positions (direct):
Ca1 0.000 0.000 0.000
Cd1 0.500 0.500 0.500
S1 0.000 0.500 0.000
S2 0.500 0.000 0.000
Cl1 0.000 0.000 0.500

(9)
Computed, not measured: Ce3Bi3P after structural relaxation at the PBE level of DFT.

Values from the calculation:
**Space group**: C2/m
**Mass density**: 7.72 g cm⁻³
**Calculated formation energy**: -0.659 eV/atom
**DFT total energy**: -5.638 eV/atom

a b c (Å): 7.862 7.862 8.110
angles (deg): 93.49 93.49 111.46
Positions (direct):
Ce1 0.109 0.109 0.296
Ce2 0.124 0.469 0.777
Ce3 0.469 0.124 0.777
Ce4 0.531 0.876 0.223
Ce5 0.876 0.531 0.223
Ce6 0.891 0.891 0.704
Bi1 0.162 0.838 0.000
Bi2 0.239 0.761 0.500
Bi3 0.427 0.427 0.154
Bi4 0.573 0.573 0.846
Bi5 0.761 0.239 0.500
Bi6 0.838 0.162 0.000
P1 0.182 0.182 0.628
P2 0.818 0.818 0.372

(10)
Computed, not measured: Pm4CuGe3 after structural relaxation at the PBE level of DFT.

Values from the calculation:
**Space group**: Pmm2
**Mass density**: 7.23 g cm⁻³
**Calculated formation energy**: -0.686 eV/atom
**DFT total energy**: -5.305 eV/atom

a b c (Å): 4.120 4.328 11.097
angles (deg): 90.00 90.00 90.00
Positions (direct):
Pm1 0.000 0.000 0.000
Pm2 0.000 0.500 0.498
Pm3 0.500 0.000 0.721
Pm4 0.500 0.500 0.222
Cu1 0.000 0.000 0.295
Ge1 0.000 0.500 0.777
Ge2 0.500 0.000 0.436
Ge3 0.500 0.500 0.941

(11)
Computed, not measured: K2TaRh after structural relaxation at the PBE level of DFT.

Values from the calculation:
**Space group**: Pmmm
**Mass density**: 6.47 g cm⁻³
**Calculated formation energy**: 1.084 eV/atom
**Polymorph energy (0 for the lowest one)**: 66.8 kJ per mole of atoms
**DFT total energy**: -4.266 eV/atom

a b c (Å): 2.895 5.430 5.913
angles (deg): 90.00 90.00 90.00
Positions (direct):
K1 0.000 0.245 0.000
K2 0.000 0.755 0.000
Ta1 0.500 0.500 0.500
Rh1 0.500 0.000 0.500

(12)
Computed, not measured: PmEr2Pu after structural relaxation at the PBE level of DFT.

Values from the calculation:
**Space group**: R3m
**Mass density**: 9.76 g cm⁻³
**Calculated formation energy**: 0.102 eV/atom
**Polymorph energy (0 for the lowest one)**: 0.0 kJ per mole of atoms
**DFT total energy**: -6.950 eV/atom

a b c (Å): 11.589 11.589 11.589
angles (deg): 17.52 17.52 17.52
Positions (direct):
Pm1 0.000 0.000 0.000
Er1 0.580 0.580 0.580
Er2 0.752 0.752 0.752
Pu1 0.166 0.166 0.166

What did the eighth record say?
Computed, not measured: CaCdS2Cl after structural relaxation at the PBE level of DFT.

Values from the calculation:
**Space group**: P4/mmm
**Mass density**: 2.86 g cm⁻³
**Formation energy from raw total energies**: -404 meV/atom
**Polymorph energy (0 for the lowest one)**: 30.1 kJ per mole of atoms
**DFT total energy**: -3.008 eV/atom

a b c (Å): 5.349 5.349 5.122
angles (deg): 90.00 90.00 90.00
Positions (direct):
Ca1 0.000 0.000 0.000
Cd1 0.500 0.500 0.500
S1 0.000 0.500 0.000
S2 0.500 0.000 0.000
Cl1 0.000 0.000 0.500

Question: Which of these has the lowest mass density?
Answer: Na2Sr6RhS

Question: The lowest DFT total energy belongs to which entry?
Answer: Co2SbOs